Material: Cd3Sb
Method: DFT, PBE-GGA
State: optimized geometry

The distance to the lowest polymorph of the same formula comes out at 0.000 eV per atom. The formation energy without anion corrections is 47 meV/atom.

Cell lengths 5.4164, 9.1841, 8.1935 Å; angles 90.00, 90.00, 90.00 degrees
With the nearest neighbours (Å) after each atom.
Space group Pnma (No. 62)
Unique sites:
1 Cd 0.1099 0.2500 0.1619 [4 per cell]  8 Cd 2.94-3.29, 1 Sb 3.03
2 Cd 0.1629 0.0262 0.8505 [8 per cell]  6 Cd 2.94-3.29, 2 Sb 2.98-3.14
3 Sb 0.0426 0.2500 0.5718 [4 per cell]  5 Cd 2.98-3.14